Entry from the Alexandria database: crystalline Tl2InRu at its relaxed geometry (PBE).

a b c (Å): 5.1762 5.1762 3.4656
angles (deg): 90.00 90.00 108.82
Closest atoms and distances in Å follow each position.
Element x y z (fractional)
In 0.5000 0.0000 0.5000  2 Ru 3.01, 8 Tl 3.11
Ru 0.0000 0.5000 0.5000  2 In 3.01, 8 Tl 3.11
Tl 0.0000 0.0000 0.0000  2 Tl 3.01, 4 Ru 3.11, 4 In 3.11
Tl 0.5000 0.5000 0.0000  2 Tl 3.01, 4 In 3.11, 4 Ru 3.11

Calculated values
total magnetization = 0.0 μB per cell
energy relative to the lowest polymorph listed for this composition = 0.381 eV per atom
N(E_F) = 0.7824 states/eV per atom
energy = -3.6149 eV/atom